# PBE-GGA KIn2Au3, relaxed
data_KIn2Au3
_chemical_formula_sum 'K4 In8 Au12'
_cell_length_a 11.640
_cell_length_b 8.555
_cell_length_c 6.400
_cell_angle_alpha 90.00
_cell_angle_beta 90.00
_cell_angle_gamma 90.00
_space_group_name_H-M_alt 'C m c m'
_space_group_IT_number 63
_space_group_name_Hall '-C 2c 2'
loop_
_atom_site_label
_atom_site_type_symbol
_atom_site_fract_x
_atom_site_fract_y
_atom_site_fract_z
_atom_site_occupancy
K1 K 0.000 0.162 0.250 1
In1 In 0.195 0.500 0.000 1
Au1 Au 0.000 0.409 0.750 1
Au2 Au 0.190 0.210 0.750 1
# Density of states at the Fermi level: 2.256 states/eV/f.u.
# ΔE_f: -0.290 eV/atom
# Total magnetic moment: 0.000 Bohr magnetons per cell